A relaxed structure of RbCa2InS4. Source: Alexandria, functional PBE.

Summary:
Uncorrected formation energy ... -1.3199 eV per atom
Total DFT energy (no corrections) ... -4.347 eV per atom

Cell and atoms, written as extended XYZ:
```
16
Lattice="-7.5072 1.3671 -3.2983 -3.6055 -1.7540 7.2821 5.7799 5.8765 -0.3979" Properties=species:S:1:pos:R:3 pbc="T T T"
S -8.2010 -0.2419 3.1148
S -4.5804 -0.9421 5.1089
In -2.6663 2.7449 1.7929
Ca -0.8637 3.6218 -1.8481
In -5.3329 5.4894 3.5859
S 2.8682 5.7314 0.4711
S -1.9695 2.2194 4.1532
Rb -1.8027 -0.8770 3.6411
S -3.3634 3.2702 -0.5673
S -5.4806 2.5217 2.9268
Rb 1.0872 2.0613 3.4421
Ca -4.6173 4.3053 -3.4972
Ca -5.5564 -0.1935 1.9919
S 0.1476 2.9680 0.6592
S -0.7524 6.4316 -1.5229
Ca -1.5792 4.8060 5.2350
```